No. 1
Below is a relaxed Dy2SiO5 crystal, with properties calculated at the GGA-PBE level.

The structure belongs to space group C2/c (No. 15); the cell edges are 14.399, 6.676 and 10.312 Å and the angles 90.00°, 122.12° and 90.00°. The distinct sites, in fractional coordinates, are Dy at (0.036, 0.246, 0.462), Dy at (0.141, 0.131, 0.833), Si at (0.181, 0.409, 0.310), O at (0.019, 0.097, 0.900), O at (0.089, 0.493, 0.646), O at (0.117, 0.208, 0.316), O at (0.199, 0.437, 0.946) and O at (0.203, 0.144, 0.672).

The value obtained for the offset from the most stable computed form is 0 meV per atom. The calculation puts the total energy at -8.299 eV per atom. The size of the total moment is 0.00 μB per formula unit. The calculation puts the theoretical density at 6.85 g/cm3.

***

No. 2
Below is a relaxed DySiO3 crystal, with properties calculated at the GGA-PBE level.

The structure belongs to space group Pm-3m (No. 221); the cell edges are 3.682, 3.682 and 3.682 Å and the angles 90.00°, 90.00° and 90.00°. The distinct sites, in fractional coordinates, are Dy at (0.000, 0.000, 0.000), Si at (0.500, 0.500, 0.500) and O at (0.000, 0.500, 0.500).

The calculation puts the total energy at -7.361 eV per atom. The size of the total moment is 0.00 μB per formula unit. The calculation puts the theoretical density at 7.94 g/cm3.

***

No. 3
Below is a relaxed Dy2SiO5 crystal, with properties calculated at the GGA-PBE level.

The structure belongs to space group P2_1/c (No. 14); the cell edges are 9.019, 6.833 and 6.666 Å and the angles 90.00°, 105.84° and 90.00°. The distinct sites, in fractional coordinates, are Dy at (0.028, 0.125, 0.233), Dy at (0.375, 0.139, 0.059), Si at (0.299, 0.591, 0.027), O at (0.113, 0.636, 0.993), O at (0.115, 0.118, 0.940), O at (0.291, 0.070, 0.338), O at (0.376, 0.050, 0.726) and O at (0.394, 0.714, 0.519).

The value obtained for the offset from the most stable computed form is 20 meV per atom. The calculation puts the total energy at -8.279 eV per atom. The size of the total moment is 0.00 μB per formula unit. The calculation puts the theoretical density at 7.28 g/cm3.

***

No. 4
Below is a relaxed SmDyO4 crystal, with properties calculated at the GGA-PBE level.

The structure belongs to space group Cm (No. 8); the cell edges are 6.776, 3.777 and 6.222 Å and the angles 90.00°, 96.82° and 90.00°. The distinct sites, in fractional coordinates, are Sm at (0.000, 0.000, 0.000), Dy at (0.126, 0.500, 0.540), O at (0.164, 0.500, 0.908), O at (0.223, 0.000, 0.337), O at (0.399, 0.000, 0.215) and O at (0.460, 0.500, 0.618).

The calculation puts the total energy at -7.781 eV per atom. The size of the total moment is 0.00 μB per formula unit. The calculation puts the theoretical density at 7.91 g/cm3.

***

No. 5
Below is a relaxed Sm2Dy2O5 crystal, with properties calculated at the GGA-PBE level.

The structure belongs to space group P4/mmm (No. 123); the cell edges are 3.881, 3.881 and 9.980 Å and the angles 90.00°, 90.00° and 90.00°. The distinct sites, in fractional coordinates, are Sm at (0.000, 0.000, 0.241), Dy at (0.500, 0.500, 0.000), Dy at (0.500, 0.500, 0.500), O at (0.000, 0.000, 0.500) and O at (0.000, 0.500, 0.137).

The value obtained for the offset from the most stable computed form is 0 meV per atom. The calculation puts the total energy at -7.624 eV per atom. The size of the total moment is 1.31 μB per formula unit. The calculation puts the theoretical density at 7.80 g/cm3.

***

No. 6
Below is a relaxed Sm2DyO4 crystal, with properties calculated at the GGA-PBE level.

The structure belongs to space group Fd-3m (No. 227, origin choice 2); the cell edges are 9.732, 9.732 and 9.732 Å and the angles 90.00°, 90.00° and 90.00°. The distinct sites, in fractional coordinates, are Sm at (0.000, 0.000, 0.000), Dy at (0.125, 0.125, 0.625) and O at (0.003, 0.003, 0.247).

The calculation puts the total energy at -7.978 eV per atom. The size of the total moment is 0.46 μB per formula unit. The calculation puts the theoretical density at 7.60 g/cm3.

***

No. 7
Below is a relaxed Sm2Dy2O5 crystal, with properties calculated at the GGA-PBE level.

The structure belongs to space group P4/mmm (No. 123); the cell edges are 4.343, 4.343 and 7.601 Å and the angles 90.00°, 90.00° and 90.00°. The distinct sites, in fractional coordinates, are Sm at (0.000, 0.000, 0.000), Sm at (0.000, 0.000, 0.500), Dy at (0.500, 0.500, 0.226), O at (0.000, 0.500, 0.231) and O at (0.500, 0.500, 0.500).

The value obtained for the offset from the most stable computed form is 148 meV per atom. The calculation puts the total energy at -7.476 eV per atom. The size of the total moment is 0.90 μB per formula unit. The calculation puts the theoretical density at 8.17 g/cm3.

***

No. 8
Below is a relaxed SmDyTeO2 crystal, with properties calculated at the GGA-PBE level.

The structure belongs to space group I4mm (No. 107); the cell edges are 3.953, 3.953 and 12.568 Å and the angles 90.00°, 90.00° and 90.00°. The distinct sites, in fractional coordinates, are Sm at (0.000, 0.000, 0.000), Dy at (0.000, 0.000, 0.678), Te at (0.000, 0.000, 0.340) and O at (0.000, 0.500, 0.094).

The calculation puts the total energy at -7.414 eV per atom. The size of the total moment is 0.00 μB per formula unit. The calculation puts the theoretical density at 7.99 g/cm3.

***

No. 9
Below is a relaxed Dy2Sn2O7 crystal, with properties calculated at the GGA-PBE level.

The structure belongs to space group Fd-3m (No. 227, origin choice 2); the cell edges are 10.406, 10.406 and 10.406 Å and the angles 90.00°, 90.00° and 90.00°. The distinct sites, in fractional coordinates, are Dy at (0.000, 0.000, 0.000), Sn at (0.000, 0.000, 0.500), O at (0.090, 0.375, 0.875) and O at (0.125, 0.125, 0.125).

The calculation puts the total energy at -7.301 eV per atom. The size of the total moment is 0.00 μB per formula unit. The calculation puts the theoretical density at 7.95 g/cm3.

***

No. 10
Below is a relaxed DySn2O4 crystal, with properties calculated at the GGA-PBE level.

The structure belongs to space group Fd-3m (No. 227, origin choice 2); the cell edges are 9.733, 9.733 and 9.733 Å and the angles 90.00°, 90.00° and 90.00°. The distinct sites, in fractional coordinates, are Dy at (0.125, 0.125, 0.125), Sn at (0.000, 0.000, 0.500) and O at (0.004, 0.004, 0.746).

The calculation puts the total energy at -6.383 eV per atom. The size of the total moment is 0.77 μB per formula unit. The calculation puts the theoretical density at 6.68 g/cm3.

***

No. 11
Below is a relaxed Sr2DyO4 crystal, with properties calculated at the GGA-PBE level.

The structure belongs to space group Fd-3m (No. 227, origin choice 2); the cell edges are 9.997, 9.997 and 9.997 Å and the angles 90.00°, 90.00° and 90.00°. The distinct sites, in fractional coordinates, are Sr at (0.000, 0.000, 0.000), Dy at (0.125, 0.125, 0.625) and O at (0.000, 0.000, 0.250).

The calculation puts the total energy at -6.617 eV per atom. The size of the total moment is 1.00 μB per formula unit. The calculation puts the theoretical density at 5.34 g/cm3.

***

No. 12
Below is a relaxed SrDyO3 crystal, with properties calculated at the GGA-PBE level.

The structure belongs to space group R-3 (No. 148, hexagonal axes); the cell edges are 5.9866, 5.9866 and 15.8012 Å and the angles 90.00°, 90.00° and 120.00°. The distinct sites, in fractional coordinates, are Sr at (0.0000, 0.0000, 0.1346), Dy at (0.0000, 0.0000, 0.3518) and O at (0.0321, 0.7314, 0.2554).

The calculation puts the total energy at -6.951 eV per atom. The size of the total moment is 1.00 μB per formula unit. The calculation puts the theoretical density at 6.06 g/cm3.